Record 1
Here is a relaxed structure of ThCo4Sn4 from Alexandria. Energies are from PBE-GGA.

```
ThCo4Sn4
1.0
-1.376 -0.708 -4.868
3.265 -7.657 0.191
-7.323 -3.061 2.515
Th Co Sn
2 8 8
direct
0.000 0.000 0.000
0.500 0.500 0.500
0.598 0.789 0.357
0.598 0.211 0.643
0.098 0.857 0.711
0.902 0.289 0.857
0.902 0.711 0.143
0.402 0.357 0.211
0.402 0.643 0.789
0.098 0.143 0.289
0.403 0.342 0.894
0.903 0.606 0.842
0.403 0.658 0.106
0.097 0.158 0.606
0.597 0.894 0.658
0.097 0.842 0.394
0.903 0.394 0.158
0.597 0.106 0.342
```

Results
SG: P4_2/n
D(E_F) (states/eV/f.u.): 6.68
Energy relative to the elements (meV per atom): -16
Final energy (eV per atom): -5.78

---

Record 2
Here is a relaxed structure of NaTbEr from Alexandria. Energies are from PBE-GGA.

```
NaTbEr
1.0
-4.181 1.100 0.764
-1.332 -3.142 -2.762
-0.374 -7.356 8.547
Tb Na Er
2 2 2
direct
0.500 0.000 0.238
0.000 0.500 0.762
0.500 0.000 0.585
0.000 0.500 0.415
0.500 0.500 0.000
0.000 0.000 0.000
```

Results
SG: P4/nmm
D(E_F) (states/eV/f.u.): 4.03
Energy relative to the elements (meV per atom): 466
Final energy (eV per atom): -3.04

---

Record 3
Here is a relaxed structure of CeNdIn6 from Alexandria. Energies are from PBE-GGA.

```
CeNdIn6
1.0
5.248 0.000 0.000
0.000 6.793 -0.221
0.000 -3.206 5.993
Ce Nd In
1 1 6
direct
0.500 0.417 0.583
0.000 0.083 0.917
0.000 0.068 0.409
0.000 0.591 0.932
0.000 0.591 0.409
0.500 0.434 0.092
0.500 0.908 0.566
0.500 0.908 0.092
```

Results
SG: P-6m2
D(E_F) (states/eV/f.u.): 8.64
Energy relative to the elements (meV per atom): -394
Final energy (eV per atom): -3.79